The following is a DFT calculation (PBE) of a geometry-optimized BaCaBr2 structure.

Results
crystal system	cubic
E_tot	-2.999	eV per atom
ΔE_f (raw)	-1.182	eV per atom

The structure in extended XYZ format:
```
4
Lattice="-1.121 -4.834 2.796 -5.390 -1.704 0.694 -1.938 -4.545 -2.834" Properties=species:S:1:pos:R:3 pbc="T T T"
Ca 0.000 0.000 0.000
Ba -4.225 -5.541 0.328
Br -2.112 -2.771 0.164
Br -6.337 -8.312 0.492
```

***

The following is a DFT calculation (PBE) of a geometry-optimized AsPC2 structure.

Results
crystal system	monoclinic
E_tot	-6.533	eV per atom
ΔH_f (0 K)	594	meV per atom

The structure in extended XYZ format:
```
8
Lattice="-0.375 -0.609 7.363 2.262 -1.980 -0.049 3.422 3.898 0.443" Properties=species:S:1:pos:R:3 pbc="T T T"
P 1.579 1.649 6.344
P 0.999 -1.291 6.098
As 2.843 3.157 3.712
As 2.263 0.218 3.467
C 0.418 0.314 6.668
C 3.260 1.273 6.864
C 1.660 1.785 4.531
C 1.080 -1.154 4.285
```

***

The following is a DFT calculation (PBE) of a geometry-optimized UGeW structure.

Results
crystal system	hexagonal
E_tot	-9.440	eV per atom
ΔH_f (0 K)	180	meV per atom

The structure in extended XYZ format:
```
3
Lattice="-1.956 -1.022 -1.771 2.275 -4.160 -0.112 -3.357 0.779 3.258" Properties=species:S:1:pos:R:3 pbc="T T T"
Ge -0.580 -3.024 0.125
U -1.956 -1.022 -1.771
W -2.457 -1.378 1.249
```

***

The following is a DFT calculation (PBE) of a geometry-optimized BaIn4Ge3 structure.

Results
crystal system	tetragonal
E_tot	-3.463	eV per atom
ΔH_f (0 K)	-121	meV per atom

The structure in extended XYZ format:
```
8
Lattice="-1.046 -2.238 -4.625 2.466 -4.359 1.552 -6.894 -2.854 2.941" Properties=species:S:1:pos:R:3 pbc="T T T"
Ba -3.447 -1.427 1.470
In -1.794 -1.645 -1.770
In -0.038 -2.706 1.318
In -6.146 -3.447 0.086
In -4.390 -4.507 3.174
Ge 0.000 0.000 0.000
Ge -1.635 -4.269 -0.536
Ge -3.839 -5.182 0.404
```

***

The following is a DFT calculation (PBE) of a geometry-optimized LaGa4Pd2Rh structure.

Results
crystal system	trigonal
E_tot	-5.036	eV per atom
ΔH_f (0 K)	-690	meV per atom

The structure in extended XYZ format:
```
8
Lattice="4.304 0.000 0.000 2.152 3.728 0.000 2.152 1.243 9.052" Properties=species:S:1:pos:R:3 pbc="T T T"
La 0.000 0.000 0.000
Ga 4.304 2.485 7.162
Ga 6.457 3.728 3.619
Ga 2.152 1.243 5.433
Ga 4.304 2.485 1.890
Pd 6.457 3.728 6.326
Pd 2.152 1.243 2.726
Rh 4.304 2.485 4.526
```

***

The following is a DFT calculation (PBE) of a geometry-optimized InTc2C structure.

Results
crystal system	tetragonal
E_tot	-7.308	eV per atom
ΔH_f (0 K)	866	meV per atom

The structure in extended XYZ format:
```
8
Lattice="-1.092 -1.149 5.053 -2.179 -4.584 -1.513 3.026 -5.237 2.238" Properties=species:S:1:pos:R:3 pbc="T T T"
C -1.635 -2.866 1.770
C -0.394 -6.344 1.247
Tc -0.034 -2.428 2.769
Tc -0.906 -4.490 1.005
Tc 0.715 -6.767 2.778
Tc -0.264 -8.255 5.004
In 0.000 0.000 0.000
In 0.150 -4.626 4.531
```

***

The following is a DFT calculation (PBE) of a geometry-optimized HfHgPd5 structure.

Results
crystal system	monoclinic
E_tot	-5.471	eV per atom
ΔH_f (0 K)	-297	meV per atom

The structure in extended XYZ format:
```
14
Lattice="-1.678 -3.485 -3.553 2.871 -0.805 -4.324 5.278 -7.712 4.339" Properties=species:S:1:pos:R:3 pbc="T T T"
Hf 2.641 -3.646 -2.977
Hf 3.829 -8.356 -0.561
Hg 0.000 0.000 0.000
Hg 2.639 -3.856 2.170
Pd 1.439 -4.850 -5.103
Pd 3.593 -5.661 -0.390
Pd 4.882 -8.233 -3.070
Pd 0.399 -4.967 -2.596
Pd 5.989 -9.919 -1.058
Pd 0.482 -2.083 -2.480
Pd 6.072 -7.035 -0.941
Pd 1.589 -3.770 -0.468
Pd 2.877 -6.341 -3.148
Pd 5.031 -7.152 1.565
```

***

The following is a DFT calculation (PBE) of a geometry-optimized TmTiPdPb structure.

Results
crystal system	cubic
E_tot	-5.646	eV per atom
ΔH_f (0 K)	-329	meV per atom

The structure in extended XYZ format:
```
4
Lattice="4.935 0.000 0.000 2.467 4.274 0.000 2.467 1.425 4.029" Properties=species:S:1:pos:R:3 pbc="T T T"
Pb 0.000 0.000 0.000
Tm 7.402 4.274 3.022
Pd 4.935 2.849 2.015
Ti 2.467 1.425 1.007
```